The following is a DFT calculation (PBE-GGA) of a relaxed structure of Ni2OsSe6.

Calculated values
DOS(E_F) ... 11.130 states/eV/cell
Symmetry ... No. 58
E ... -5.014 eV per atom
Crystal system ... orthorhombic
ρ ... 7.748 g/cm³

Cell: 6.363 4.934 10.669 Å, 90.00 89.99 90.00°
Fractional positions:
Ni 0.000 0.500 0.823
Se 0.689 0.224 0.843
Se 0.332 0.739 0.500
Ni 0.000 0.500 0.177
Se 0.311 0.776 0.157
Se 0.811 0.724 0.343
Os 0.500 0.500 0.000
Se 0.189 0.276 0.657
Se 0.811 0.724 0.657
Se 0.668 0.261 0.500
Se 0.311 0.776 0.843
Se 0.189 0.276 0.343
Ni 0.500 0.000 0.323
Os 0.000 0.000 0.500
Ni 0.500 0.000 0.677
Se 0.689 0.224 0.157
Se 0.832 0.761 0.000
Se 0.168 0.239 0.000



The following is a DFT calculation (PBE-GGA) of a relaxed structure of TaW2Cl.

Calculated values
DOS(E_F) ... 2.663 states/eV/cell
Symmetry ... No. 47
E ... -9.097 eV per atom
Crystal system ... orthorhombic
ρ ... 14.582 g/cm³

Cell: 3.008 4.535 4.876 Å, 90.00 90.00 90.00°
Fractional positions:
Ta 0.000 0.500 0.500
W 0.500 0.500 0.000
Cl 0.500 0.000 0.500
W 0.000 0.000 0.000



The following is a DFT calculation (PBE-GGA) of a relaxed structure of VAgBiIr2.

Calculated values
DOS(E_F) ... 13.866 states/eV/cell
Symmetry ... No. 123
E ... -4.697 eV per atom
Crystal system ... tetragonal
Formation energy from the elements ... 2017 meV/atom
ρ ... 9.915 g/cm³

Cell: 4.982 5.075 4.982 Å, 90.00 90.00 90.00°
Fractional positions:
Ir 0.500 0.000 0.000
Bi 0.000 0.000 0.000
Ag 0.000 0.500 0.000
Ir 0.000 0.000 0.500
V 0.500 0.500 0.500



The following is a DFT calculation (PBE-GGA) of a relaxed structure of YPdPb3.

Calculated values
DOS(E_F) ... 4.516 states/eV/cell
Symmetry ... No. 221
E ... -3.763 eV per atom
Crystal system ... cubic
Formation energy from the elements ... 794 meV/atom
ρ ... 6.939 g/cm³

Cell: 5.804 5.804 5.804 Å, 90.00 90.00 90.00°
Fractional positions:
Pb 0.500 0.000 0.000
Pd 0.500 0.500 0.500
Pb 0.000 0.000 0.500
Y 0.000 0.000 0.000
Pb 0.000 0.500 0.000



The following is a DFT calculation (PBE-GGA) of a relaxed structure of LaHoZrN3.

Calculated values
DOS(E_F) ... 4.717 states/eV/cell
Symmetry ... No. 11
E ... -8.685 eV per atom
Crystal system ... monoclinic
ρ ... 7.950 g/cm³

Cell: 3.500 5.988 8.928 Å, 102.66 90.00 90.00°
Fractional positions:
Ho 0.750 0.232 0.956
N 0.250 0.441 0.831
Zr 0.750 0.862 0.357
N 0.250 0.960 0.838
N 0.750 0.040 0.162
Ho 0.250 0.768 0.044
N 0.750 0.559 0.169
N 0.750 0.227 0.520
Zr 0.250 0.138 0.643
La 0.750 0.652 0.695
N 0.250 0.773 0.480
La 0.250 0.348 0.305



The following is a DFT calculation (PBE-GGA) of a relaxed structure of InSiRu2.

Calculated values
DOS(E_F) ... 1.554 states/eV/cell
Symmetry ... No. 10
E ... -6.855 eV per atom
Crystal system ... monoclinic
ρ ... 9.273 g/cm³

Cell: 3.741 2.976 5.794 Å, 73.30 90.00 90.00°
Fractional positions:
Ru 0.000 0.110 0.033
In 0.500 0.750 0.750
Ru 0.000 0.390 0.467
Si 0.500 0.250 0.250



The following is a DFT calculation (PBE-GGA) of a relaxed structure of K3CaAu8.

Calculated values
DOS(E_F) ... 3.028 states/eV/cell
Symmetry ... No. 160
E ... -2.992 eV per atom
Crystal system ... trigonal
Formation energy from the elements ... -366 meV/atom
ρ ... 10.361 g/cm³

Cell: 5.718 5.718 10.350 Å, 73.97 73.97 60.00°
Fractional positions:
Au 0.688 0.688 0.937
Au 0.938 0.443 0.680
Au 0.932 0.436 0.196
K 0.374 0.374 0.877
Au 0.443 0.938 0.680
K 0.003 0.003 0.991
Au 0.187 0.187 0.438
Ca 0.876 0.876 0.371
Au 0.938 0.938 0.680
K 0.497 0.497 0.508
Au 0.436 0.436 0.196
Au 0.436 0.932 0.196



The following is a DFT calculation (PBE-GGA) of a relaxed structure of U2V3Ge4.

Calculated values
DOS(E_F) ... 23.766 states/eV/cell
Symmetry ... No. 14
E ... -7.906 eV per atom
Crystal system ... monoclinic
Formation energy from the elements ... -306 meV/atom
ρ ... 10.091 g/cm³

Cell: 6.989 6.804 6.813 Å, 90.00 90.00 110.95°
Fractional positions:
U 0.456 0.851 0.628
Ge 0.352 0.479 0.356
V 0.257 0.255 0.675
Ge 0.852 0.479 0.144
Ge 0.648 0.521 0.644
Ge 0.885 0.099 0.543
Ge 0.115 0.901 0.457
V 0.243 0.745 0.175
Ge 0.385 0.099 0.957
V 0.743 0.745 0.325
V 0.757 0.255 0.825
U 0.956 0.851 0.872
Ge 0.615 0.901 0.043
V 0.000 0.500 0.500
U 0.044 0.149 0.128
U 0.544 0.149 0.372
Ge 0.148 0.521 0.856
V 0.500 0.500 0.000